# 1
This record from Alexandria via LeMat-Bulk describes a relaxed NaMoAs2 crystal. The functional is PBE-GGA.

a b c (Å): 3.335 3.335 24.489
angles (deg): 90.00 90.00 120.00
Atoms (fractional coordinates):
Na (0.000, 0.000, 0.000)
Na (0.333, 0.667, 0.667)
Na (0.667, 0.333, 0.333)
Mo (0.000, 0.000, 0.500)
Mo (0.333, 0.667, 0.167)
Mo (0.667, 0.333, 0.833)
As (0.000, 0.000, 0.236)
As (0.000, 0.000, 0.764)
As (0.333, 0.667, 0.430)
As (0.333, 0.667, 0.903)
As (0.667, 0.333, 0.097)
As (0.667, 0.333, 0.570)

Values from the calculation:
E above lowest polymorph (meV per atom): 0.0
Magnetization (μB/atom): 0.0000
Energy relative to the elements (eV per atom): -0.27

# 2
This record from Alexandria via LeMat-Bulk describes a relaxed NaMoAs crystal. The functional is PBE-GGA.

a b c (Å): 3.224 3.224 11.669
angles (deg): 90.00 90.00 90.00
Atoms (fractional coordinates):
Na (0.000, 0.000, 0.000)
Na (0.500, 0.500, 0.500)
Mo (0.000, 0.000, 0.288)
Mo (0.500, 0.500, 0.788)
As (0.000, 0.000, 0.690)
As (0.500, 0.500, 0.190)

Values from the calculation:
E above lowest polymorph (meV per atom): 499.2
Magnetization (μB/atom): 0.0005
Energy relative to the elements (eV per atom): 0.22